Below is a relaxed structure of TaZn3Ni, with properties calculated at the PBE level.

a b c (Å): 4.975 4.975 4.975
angles (deg): 90.00 90.00 90.00
Last column: magnetic moment on the atom in μB.
Fractional coordinates of all 5 atoms:
1 Zn 0.000 0.500 0.000  -0.02
2 Zn 0.500 0.000 0.000  -0.01
3 Zn 0.000 0.000 0.500  -0.02
4 Ni 0.500 0.500 0.500  0.75
5 Ta 0.000 0.000 0.000  -0.18

Properties
Symmetry   Pm-3m
Energy above the lowest structure with this stoichiometry   929.3 meV per atom
Theoretical density   5.9 g/cm3
Formation enthalpy at 0 K   1556 meV per atom
E_tot   -2.735 eV/atom
N(E_F)   5.9 states/eV per cell

=====

Below is a relaxed structure of Hg2TePt, with properties calculated at the PBE level.

a b c (Å): 3.931 3.931 7.887
angles (deg): 75.05 75.05 63.06
Fractional coordinates of all 4 atoms:
1 Te 0.226 0.226 0.316
2 Hg 0.005 0.005 0.984
3 Hg 0.761 0.761 0.717
4 Pt 0.508 0.508 0.484

Properties
Symmetry   Cm
Theoretical density   11.6 g/cm3
E_tot   -2.500 eV/atom
N(E_F)   2.1 states/eV per cell

=====

Below is a relaxed structure of Ce3Cd4Ag2, with properties calculated at the PBE level.

a b c (Å): 5.073 6.016 9.362
angles (deg): 120.16 90.00 114.94
Last column: magnetic moment on the atom in μB.
Fractional coordinates of all 9 atoms:
1 Ag 0.390 0.779 0.723  0.00
2 Ag 0.610 0.221 0.277  0.00
3 Ce 0.334 0.668 0.336  0.93
4 Ce 0.000 0.000 0.000  0.93
5 Ce 0.666 0.332 0.664  0.93
6 Cd 0.058 0.117 0.389  0.01
7 Cd 0.282 0.564 0.946  0.01
8 Cd 0.718 0.436 0.054  0.01
9 Cd 0.942 0.883 0.611  0.01

Properties
Symmetry   C2/m
Theoretical density   8.4 g/cm3
Formation enthalpy at 0 K   -233 meV per atom
E_tot   -3.251 eV/atom
N(E_F)   18.0 states/eV per cell

=====

Below is a relaxed structure of InSi2, with properties calculated at the PBE level.

a b c (Å): 5.505 5.505 6.851
angles (deg): 85.10 85.10 39.67
Fractional coordinates of all 6 atoms:
1 Si 0.949 0.949 0.460
2 Si 0.275 0.275 0.903
3 Si 0.587 0.587 0.493
4 Si 0.762 0.762 0.698
5 In 0.998 0.998 0.986
6 In 0.262 0.262 0.293

Properties
Symmetry   Cm
Energy above the lowest structure with this stoichiometry   29.3 meV per atom
Theoretical density   4.3 g/cm3
E_tot   -4.264 eV/atom
N(E_F)   1.3 states/eV per cell

=====

Below is a relaxed structure of Sr2HgSb, with properties calculated at the PBE level.

a b c (Å): 8.740 8.740 8.740
angles (deg): 32.28 32.28 32.28
Fractional coordinates of all 4 atoms:
1 Sr 0.033 0.033 0.033
2 Sr 0.211 0.211 0.211
3 Hg 0.488 0.488 0.488
4 Sb 0.769 0.769 0.769

Properties
Symmetry   R3m
Energy above the lowest structure with this stoichiometry   334.6 meV per atom
Theoretical density   4.9 g/cm3
E_tot   -2.421 eV/atom
N(E_F)   2.9 states/eV per cell

=====

Below is a relaxed structure of TiSn2O, with properties calculated at the PBE level.

a b c (Å): 6.656 6.656 5.870
angles (deg): 55.46 55.46 90.00
Fractional coordinates of all 8 atoms:
1 Ti 0.000 0.000 0.000
2 Ti 0.750 0.250 0.500
3 Sn 0.375 0.440 0.750
4 Sn 0.875 0.810 0.750
5 Sn 0.560 0.125 0.250
6 Sn 0.190 0.625 0.250
7 O 0.500 0.500 0.000
8 O 0.250 0.750 0.500

Properties
Symmetry   I-42d
Theoretical density   6.4 g/cm3
E_tot   -5.466 eV/atom
N(E_F)   8.9 states/eV per cell

=====

Below is a relaxed structure of Tm7IrPb4, with properties calculated at the PBE level.

a b c (Å): 5.241 9.230 8.247
angles (deg): 80.75 71.47 73.51
Fractional coordinates of all 12 atoms:
1 Pb 0.722 0.651 0.906
2 Pb 0.584 0.225 0.608
3 Pb 0.278 0.349 0.094
4 Pb 0.416 0.775 0.392
5 Tm 0.225 0.132 0.418
6 Tm 0.935 0.275 0.856
7 Tm 0.500 0.000 0.000
8 Tm 0.645 0.443 0.268
9 Tm 0.355 0.557 0.732
10 Tm 0.065 0.725 0.144
11 Tm 0.775 0.868 0.582
12 Ir 0.000 0.000 0.000

Properties
Symmetry   C2/m
Theoretical density   10.1 g/cm3
Formation enthalpy at 0 K   -222 meV per atom
E_tot   -4.805 eV/atom
N(E_F)   8.1 states/eV per cell